[1]
A plane-wave DFT calculation with meta-GGA SCAN was carried out for YScAg2 at its PBEsol-relaxed geometry.

The structure belongs to space group Fm-3m (No. 225); the cell edges are 6.9673, 6.9673 and 6.9673 Å and the angles 90.00°, 90.00° and 90.00°. Symmetry generates all atoms from Y at (0.0000, 0.0000, 0.0000), Sc at (0.0000, 0.0000, 0.5000) and Ag at (0.2500, 0.2500, 0.2500).

Its density is 6.9 Mg/m³. The value obtained for the energy above the most stable polymorph in this dataset is 0.0 kJ/mol of atoms. The calculation puts the total magnetization at 0.000 Bohr magnetons per cell. The calculation puts the volume at 338.2 Å³/cell.

---

[2]
A plane-wave DFT calculation with meta-GGA SCAN was carried out for ScZnAg3 at its PBEsol-relaxed geometry.

The structure belongs to space group Pm-3m (No. 221); the cell edges are 4.6817, 4.6817 and 4.6817 Å and the angles 90.00°, 90.00° and 90.00°. Symmetry generates all atoms from Sc at (0.0000, 0.0000, 0.0000), Zn at (0.5000, 0.5000, 0.5000) and Ag at (0.0000, 0.5000, 0.5000).

Its density is 7.0 Mg/m³. As for the calculated total energy: -120.2 eV per cell. The calculation puts the total magnetization at 0.000 Bohr magnetons per cell. The calculation puts the volume at 102.6 Å³/cell.

---

[3]
A plane-wave DFT calculation with meta-GGA SCAN was carried out for ScZn2Ag at its PBEsol-relaxed geometry.

The structure belongs to space group I-4m2 (No. 119); the cell edges are 4.4862, 4.4862 and 6.4098 Å and the angles 90.00°, 90.00° and 90.00°. Symmetry generates all atoms from Sc at (0.0000, 0.0000, 0.0000), Zn at (0.0000, 0.0000, 0.5000), Zn at (0.0000, 0.5000, 0.7500) and Ag at (0.0000, 0.5000, 0.2500).

Its density is 7.3 Mg/m³. The value obtained for the energy above the most stable polymorph in this dataset is 1.5 kJ/mol of atoms. The calculation puts the total magnetization at 0.000 Bohr magnetons per cell. The calculation puts the volume at 129.0 Å³/cell.

---

[4]
A plane-wave DFT calculation with meta-GGA SCAN was carried out for ScZn2Ag at its PBEsol-relaxed geometry.

The structure belongs to space group Amm2 (No. 38); the cell edges are 4.2023, 3.0380 and 10.4073 Å and the angles 90.00°, 90.00° and 90.00°. Symmetry generates all atoms from Sc at (0.0000, 0.0000, 0.0000), Zn at (0.0000, 0.0000, 0.7334), Zn at (0.5000, 0.0000, 0.6054) and Ag at (0.5000, 0.0000, 0.3373).

Its density is 7.1 Mg/m³. The value obtained for the energy above the most stable polymorph in this dataset is 9.2 kJ/mol of atoms. The calculation puts the total magnetization at 0.000 Bohr magnetons per cell. The calculation puts the volume at 132.9 Å³/cell.

---

[5]
A plane-wave DFT calculation with meta-GGA SCAN was carried out for ScZn2Ag at its PBEsol-relaxed geometry.

The structure belongs to space group P4mm (No. 99); the cell edges are 3.1437, 3.1437 and 6.6447 Å and the angles 90.00°, 90.00° and 90.00°. Symmetry generates all atoms from Sc at (0.0000, 0.0000, 0.0000), Zn at (0.0000, 0.0000, 0.4831), Zn at (0.5000, 0.5000, 0.2709) and Ag at (0.5000, 0.5000, 0.7164).

Its density is 7.2 Mg/m³. The value obtained for the energy above the most stable polymorph in this dataset is 10.4 kJ/mol of atoms. The calculation puts the total magnetization at 0.000 Bohr magnetons per cell. The calculation puts the volume at 65.7 Å³/cell.

---

[6]
A plane-wave DFT calculation with meta-GGA SCAN was carried out for ScZn2Ag at its PBEsol-relaxed geometry.

The structure belongs to space group Fm-3m (No. 225); the cell edges are 6.3402, 6.3402 and 6.3402 Å and the angles 90.00°, 90.00° and 90.00°. Symmetry generates all atoms from Sc at (0.0000, 0.0000, 0.0000), Zn at (0.2500, 0.2500, 0.2500) and Ag at (0.0000, 0.0000, 0.5000).

Its density is 7.4 Mg/m³. The value obtained for the energy above the most stable polymorph in this dataset is 0.0 kJ/mol of atoms. The calculation puts the total magnetization at 0.000 Bohr magnetons per cell. The calculation puts the volume at 254.9 Å³/cell.